P.
Below is a relaxed structure of KRe2Au, with properties calculated at the PBE level.

Calculated values
- D(E_F): 2.83 states/eV/f.u.

abc: 2.680 5.482 5.113
angles: 90.00 93.42 90.00
Fractional positions:
K: 0.000 0.000 0.000
Re: 0.332 0.500 0.760
Re: 0.668 0.500 0.240
Au: 0.500 0.000 0.500

Q.
Below is a relaxed structure of KRe2Au, with properties calculated at the PBE level.

Calculated values
- D(E_F): 3.62 states/eV/f.u.

abc: 5.915 5.915 5.915
angles: 142.36 142.36 54.29
Fractional positions:
K: 0.000 0.000 0.000
Re: 0.250 0.750 0.500
Re: 0.750 0.250 0.500
Au: 0.500 0.500 0.000

R.
Below is a relaxed structure of KRe2Au, with properties calculated at the PBE level.

Calculated values
- D(E_F): 4.27 states/eV/f.u.

abc: 3.832 3.832 5.131
angles: 90.00 90.00 90.00
Fractional positions:
K: 0.000 0.000 0.000
Re: 0.000 0.500 0.500
Re: 0.500 0.000 0.500
Au: 0.500 0.500 0.000

Relative energies, in meV/atom, with the most stable structure set to zero: P 0; Q 369; R 339.